Compound: Tl2PbWO4
Source: Alexandria
Functional: GGA+U
Structure: optimized geometry Values from VASP.

Properties
The energy comes out at -5.55 eV/atom. Its crystal system is tetragonal. The volume comes out at 23.46 Å³ per atom. As for the size of the total moment: 0.0 μB/f.u.

Cell and atoms, written as Quantum ESPRESSO input:
```
&SYSTEM
  ibrav = 0, nat = 16, ntyp = 4
/
ATOMIC_SPECIES
Tl 204.38 Tl.upf
Pb 207.20 Pb.upf
W 183.84 W.upf
O 16.00 O.upf
ATOMIC_POSITIONS crystal
Tl 0.0000 0.0000 0.0000
Tl 0.0000 0.5000 0.2500
Tl 0.5000 0.0000 0.7500
Tl 0.5000 0.5000 0.5000
Pb 0.0000 0.0000 0.5000
Pb 0.5000 0.5000 0.0000
W 0.0000 0.5000 0.7500
W 0.5000 0.0000 0.2500
O 0.1194 0.6670 0.6024
O 0.1670 0.3806 0.8976
O 0.3330 0.1194 0.3976
O 0.3806 0.8330 0.1024
O 0.6194 0.1670 0.1024
O 0.6670 0.8806 0.3976
O 0.8330 0.6194 0.8976
O 0.8806 0.3330 0.6024
CELL_PARAMETERS angstrom
7.1771 0.0000 0.0000
0.0000 7.1771 0.0000
0.0000 0.0000 7.2884
```